The following is a DFT calculation (PBE) of an optimized crystal structure of KTb3Te4O12.

Calculated values
Electronic total energy in eV/atom: -6.132
Formation energy from raw total energies in eV per atom: -1.779
D(E_F) in states/eV per cell: 9.34

Cell lengths 11.6565, 11.6565, 9.2264 Å; angles 90.00, 90.00, 120.00 degrees
Space group R32 (No. 155, hexagonal axes)
Unique sites:
1 K 0.0000 0.0000 0.0000 [3 per cell]
2 Tb 0.0000 0.5734 0.0000 [9 per cell]
3 Te 0.0000 0.0000 0.5000 [3 per cell]
4 Te 0.0000 0.4083 0.5000 [9 per cell]
5 O 0.0000 0.5745 0.5000 [9 per cell]
6 O 0.0000 0.8248 0.5000 [9 per cell]
7 O 0.0389 0.1883 0.2458 [18 per cell]


The following is a DFT calculation (PBE) of an optimized crystal structure of Na2AgGe2Au5.

Calculated values
Energy relative to the elements in kJ/mol of formula units: -147
Electronic total energy in eV/atom: -3.264
D(E_F) in states/eV per cell: 6.43

Cell lengths 10.6965, 10.6965, 3.5302 Å; angles 90.00, 90.00, 90.00 degrees
Space group P4/mbm (No. 127)
Unique sites:
1 Na 0.1727 0.3273 0.0000 [4 per cell]
2 Ag 0.0000 0.0000 0.0000 [2 per cell]
3 Ge 0.1322 0.6322 0.0000 [4 per cell]
4 Au 0.0000 0.5000 0.5000 [2 per cell]
5 Au 0.0543 0.8026 0.5000 [8 per cell]


Q: Number 2 is which compound?
A: Na2AgGe2Au5


Q: The lowest electronic total energy belongs to which entry?
A: KTb3Te4O12